Record 1
Below is an optimized crystal structure of Ba3HoAu2O6, with properties calculated at the PBE-GGA level.

Properties
formation energy without anion corrections	-1.764	eV/atom
electronic total energy	-67.8	eV for the cell shown
calculated volume	19.22	A^3/atom
space group	No. 164

Unit cell a=6.201 b=6.201 c=6.925 alpha=90.00 beta=90.00 gamma=120.00
Sites, in units of the cell vectors:
Ba1 0.333 0.667 0.631
Ba2 0.667 0.333 0.369
Ba3 0.000 0.000 0.000
Ho1 0.000 0.000 0.500
Au1 0.667 0.333 0.867
Au2 0.333 0.667 0.133
O1 0.671 0.835 0.311
O2 0.165 0.329 0.311
O3 0.165 0.835 0.311
O4 0.835 0.671 0.689
O5 0.329 0.165 0.689
O6 0.835 0.165 0.689

=====

Record 2
Below is an optimized crystal structure of Ba2HoAu2O6, with properties calculated at the PBE-GGA level.

Properties
formation energy without anion corrections	-1.686	eV/atom
electronic total energy	-63.3	eV for the cell shown
calculated volume	17.97	A^3/atom
space group	No. 12

Unit cell a=5.791 b=6.393 c=7.022 alpha=117.75 beta=90.00 gamma=116.93
Sites, in units of the cell vectors:
Ba1 0.711 0.422 0.165
Ba2 0.289 0.578 0.835
Ho1 0.500 0.000 0.500
Au1 0.922 0.844 0.714
Au2 0.078 0.156 0.286
O1 0.721 0.442 0.590
O2 0.166 0.851 0.212
O3 0.315 0.149 0.788
O4 0.834 0.149 0.788
O5 0.685 0.851 0.212
O6 0.279 0.558 0.410

=====

Record 3
Below is an optimized crystal structure of Ba2HoAuO5, with properties calculated at the PBE-GGA level.

Properties
formation energy without anion corrections	-2.079	eV/atom
electronic total energy	-110.4	eV for the cell shown
calculated volume	17.13	A^3/atom
space group	No. 36

Unit cell a=3.625 b=7.264 c=12.096 alpha=90.00 beta=90.00 gamma=104.45
Sites, in units of the cell vectors:
Ba1 0.850 0.700 0.799
Ba2 0.092 0.184 0.681
Ba3 0.150 0.300 0.299
Ba4 0.908 0.816 0.181
Ho1 0.792 0.584 0.523
Ho2 0.208 0.416 0.023
Au1 0.522 0.044 0.946
Au2 0.478 0.956 0.446
O1 0.376 0.752 0.986
O2 0.667 0.334 0.899
O3 0.483 0.966 0.781
O4 0.270 0.541 0.636
O5 0.937 0.874 0.573
O6 0.624 0.248 0.486
O7 0.333 0.666 0.399
O8 0.517 0.034 0.281
O9 0.730 0.459 0.136
O10 0.063 0.126 0.073

=====

Record 4
Below is an optimized crystal structure of BaHoAuSe3, with properties calculated at the PBE-GGA level.

Properties
formation energy without anion corrections	-1.494	eV/atom
electronic total energy	-58.4	eV for the cell shown
calculated volume	28.12	A^3/atom
space group	No. 11

Unit cell a=4.233 b=8.629 c=9.616 alpha=106.12 beta=90.00 gamma=90.00
Sites, in units of the cell vectors:
Ba1 0.250 0.207 0.252
Ba2 0.750 0.793 0.748
Ho1 0.250 0.680 0.162
Ho2 0.750 0.320 0.838
Au1 0.250 0.101 0.592
Au2 0.750 0.899 0.408
Se1 0.750 0.899 0.132
Se2 0.250 0.101 0.868
Se3 0.250 0.736 0.469
Se4 0.750 0.264 0.531
Se5 0.750 0.447 0.149
Se6 0.250 0.553 0.851

=====

Record 5
Below is an optimized crystal structure of Ba2HoSn3Au4, with properties calculated at the PBE-GGA level.

Properties
E_form	-653	meV per atom
electronic total energy	-40.1	eV for the cell shown
calculated volume	27.52	A^3/atom
space group	No. 115

Unit cell a=4.818 b=4.818 c=11.852 alpha=90.00 beta=90.00 gamma=90.00
Sites, in units of the cell vectors:
Ba1 0.500 0.000 0.230
Ba2 0.000 0.500 0.770
Ho1 0.500 0.500 0.500
Sn1 0.000 0.000 0.500
Sn2 0.500 0.000 0.876
Sn3 0.000 0.500 0.124
Au1 0.500 0.500 0.000
Au2 0.000 0.000 0.000
Au3 0.500 0.000 0.642
Au4 0.000 0.500 0.358

=====

Record 6
Below is an optimized crystal structure of BaHoTe3Au, with properties calculated at the PBE-GGA level.

Properties
formation energy without anion corrections	-1.218	eV/atom
electronic total energy	-53.0	eV for the cell shown
calculated volume	33.58	A^3/atom
space group	No. 11

Unit cell a=4.485 b=9.112 c=10.226 alpha=105.40 beta=90.00 gamma=90.00
Sites, in units of the cell vectors:
Ba1 0.250 0.201 0.259
Ba2 0.750 0.799 0.741
Ho1 0.250 0.681 0.162
Ho2 0.750 0.319 0.838
Te1 0.750 0.902 0.130
Te2 0.250 0.098 0.870
Te3 0.250 0.746 0.469
Te4 0.750 0.254 0.531
Te5 0.750 0.444 0.153
Te6 0.250 0.556 0.847
Au1 0.250 0.086 0.591
Au2 0.750 0.914 0.409

=====

Record 7
Below is an optimized crystal structure of Ba3AuI, with properties calculated at the PBE-GGA level.

Properties
formation energy without anion corrections	-0.609	eV/atom
offset from the most stable computed form	18.4	kJ per mole of atoms
electronic total energy	-13.6	eV for the cell shown
calculated volume	53.42	A^3/atom
space group	No. 221

Unit cell a=6.440 b=6.440 c=6.440 alpha=90.00 beta=90.00 gamma=90.00
Sites, in units of the cell vectors:
I1 0.500 0.500 0.500
Au1 0.000 0.000 0.000
Ba1 0.000 0.500 0.000
Ba2 0.000 0.000 0.500
Ba3 0.500 0.000 0.000

=====

Record 8
Below is an optimized crystal structure of BaAuI3, with properties calculated at the PBE-GGA level.

Properties
formation energy without anion corrections	-0.816	eV/atom
offset from the most stable computed form	25.3	kJ per mole of atoms
electronic total energy	-13.9	eV for the cell shown
calculated volume	39.64	A^3/atom
space group	No. 221

Unit cell a=5.830 b=5.830 c=5.830 alpha=90.00 beta=90.00 gamma=90.00
Sites, in units of the cell vectors:
I1 0.000 0.500 0.000
I2 0.000 0.000 0.500
I3 0.500 0.000 0.000
Au1 0.000 0.000 0.000
Ba1 0.500 0.500 0.500

=====

Record 9
Below is an optimized crystal structure of Ba4Au2I5, with properties calculated at the PBE-GGA level.

Properties
formation energy without anion corrections	-1.367	eV/atom
electronic total energy	-37.0	eV for the cell shown
calculated volume	46.09	A^3/atom
space group	No. 12

Unit cell a=4.860 b=9.496 c=12.219 alpha=112.93 beta=101.47 gamma=90.00
Sites, in units of the cell vectors:
Ba1 0.707 0.706 0.413
Ba2 0.000 0.724 0.000
Ba3 0.293 0.294 0.587
Ba4 0.000 0.276 0.000
Au1 0.562 0.562 0.125
Au2 0.438 0.438 0.875
I1 0.168 0.925 0.335
I2 0.832 0.075 0.665
I3 0.167 0.409 0.335
I4 0.500 0.000 0.000
I5 0.833 0.591 0.665

=====

Record 10
Below is an optimized crystal structure of BaAuI2, with properties calculated at the PBE-GGA level.

Properties
formation energy without anion corrections	-0.746	eV/atom
offset from the most stable computed form	7.4	kJ per mole of atoms
electronic total energy	-22.6	eV for the cell shown
calculated volume	43.99	A^3/atom
space group	No. 122

Unit cell a=5.936 b=5.936 c=10.833 alpha=74.10 beta=74.10 gamma=90.00
Sites, in units of the cell vectors:
I1 0.671 0.125 0.250
I2 0.079 0.625 0.250
I3 0.375 0.329 0.750
I4 0.875 0.921 0.750
Au1 0.000 0.000 0.000
Au2 0.750 0.250 0.500
Ba1 0.500 0.500 0.000
Ba2 0.250 0.750 0.500

=====

Record 11
Below is an optimized crystal structure of BaAu2I6, with properties calculated at the PBE-GGA level.

Properties
formation energy without anion corrections	-0.556	eV/atom
electronic total energy	-45.6	eV for the cell shown
calculated volume	42.64	A^3/atom
space group	No. 15

Unit cell a=8.037 b=10.813 c=10.813 alpha=102.24 beta=69.84 gamma=69.84
Sites, in units of the cell vectors:
Ba1 0.250 0.126 0.874
Ba2 0.750 0.874 0.126
Au1 0.378 0.553 0.716
Au2 0.122 0.284 0.447
Au3 0.622 0.447 0.284
Au4 0.878 0.716 0.553
I1 0.410 0.700 0.546
I2 0.090 0.454 0.300
I3 0.590 0.300 0.454
I4 0.910 0.546 0.700
I5 0.831 0.902 0.424
I6 0.669 0.576 0.098
I7 0.169 0.098 0.576
I8 0.331 0.424 0.902
I9 0.267 0.807 0.945
I10 0.233 0.055 0.193
I11 0.733 0.193 0.055
I12 0.767 0.945 0.807

=====

Record 12
Below is an optimized crystal structure of Ba6Au3I, with properties calculated at the PBE-GGA level.

Properties
formation energy without anion corrections	-0.704	eV/atom
electronic total energy	-59.9	eV for the cell shown
calculated volume	45.63	A^3/atom
space group	No. 11

Unit cell a=4.832 b=14.264 c=14.036 alpha=109.37 beta=90.00 gamma=90.00
Sites, in units of the cell vectors:
Ba1 0.750 0.466 0.598
Ba2 0.250 0.534 0.402
Ba3 0.750 0.939 0.101
Ba4 0.250 0.061 0.899
Ba5 0.750 0.384 0.034
Ba6 0.250 0.616 0.966
Ba7 0.750 0.699 0.270
Ba8 0.250 0.301 0.730
Ba9 0.750 0.147 0.439
Ba10 0.250 0.853 0.561
Ba11 0.750 0.754 0.779
Ba12 0.250 0.246 0.221
Au1 0.750 0.467 0.831
Au2 0.250 0.533 0.169
Au3 0.750 0.685 0.515
Au4 0.250 0.315 0.485
Au5 0.750 0.157 0.061
Au6 0.250 0.843 0.939
I1 0.750 0.067 0.661
I2 0.250 0.933 0.339

=====

Record 13
Below is an optimized crystal structure of BaAuI6, with properties calculated at the PBE-GGA level.

Properties
formation energy without anion corrections	-0.640	eV/atom
electronic total energy	-19.6	eV for the cell shown
calculated volume	45.76	A^3/atom
space group	No. 2

Unit cell a=6.905 b=10.064 c=6.446 alpha=78.32 beta=92.22 gamma=57.97
Sites, in units of the cell vectors:
Ba1 0.500 0.500 0.500
Au1 0.000 0.000 0.000
I1 0.993 0.503 0.746
I2 0.703 0.066 0.657
I3 0.667 0.292 0.056
I4 0.297 0.934 0.343
I5 0.007 0.497 0.254
I6 0.333 0.708 0.944

=====

Record 14
Below is an optimized crystal structure of Ba9Au3I, with properties calculated at the PBE-GGA level.

Properties
formation energy without anion corrections	-0.520	eV/atom
electronic total energy	-70.9	eV for the cell shown
calculated volume	52.92	A^3/atom
space group	No. 11

Unit cell a=8.127 b=12.419 c=13.721 alpha=90.00 beta=96.54 gamma=90.00
Sites, in units of the cell vectors:
Ba1 0.150 0.250 0.973
Ba2 0.134 0.933 0.794
Ba3 0.134 0.567 0.794
Ba4 0.254 0.934 0.452
Ba5 0.254 0.566 0.452
Ba6 0.291 0.250 0.645
Ba7 0.353 0.930 0.122
Ba8 0.353 0.570 0.122
Ba9 0.409 0.250 0.301
Ba10 0.591 0.750 0.699
Ba11 0.647 0.070 0.878
Ba12 0.647 0.430 0.878
Ba13 0.709 0.750 0.355
Ba14 0.746 0.066 0.548
Ba15 0.746 0.434 0.548
Ba16 0.866 0.067 0.206
Ba17 0.866 0.433 0.206
Ba18 0.850 0.750 0.027
Au1 0.000 0.000 0.000
Au2 0.000 0.500 0.000
Au3 0.438 0.502 0.668
Au4 0.438 0.998 0.668
Au5 0.562 0.002 0.332
Au6 0.562 0.498 0.332
I1 0.014 0.250 0.413
I2 0.986 0.750 0.587

=====

Record 15
Below is an optimized crystal structure of Ba2AuI, with properties calculated at the PBE-GGA level.

Properties
formation energy without anion corrections	-0.862	eV/atom
offset from the most stable computed form	20.5	kJ per mole of atoms
electronic total energy	-24.2	eV for the cell shown
calculated volume	46.58	A^3/atom
space group	No. 122

Unit cell a=8.954 b=8.954 c=7.855 alpha=55.25 beta=55.25 gamma=90.00
Sites, in units of the cell vectors:
I1 0.500 0.500 0.000
I2 0.250 0.750 0.500
Au1 0.000 0.000 0.000
Au2 0.750 0.250 0.500
Ba1 0.656 0.125 0.250
Ba2 0.094 0.625 0.250
Ba3 0.375 0.344 0.750
Ba4 0.875 0.906 0.750

=====

Record 16
Below is an optimized crystal structure of Ba4AuI4, with properties calculated at the PBE-GGA level.

Properties
formation energy without anion corrections	-1.142	eV/atom
electronic total energy	-27.5	eV for the cell shown
calculated volume	52.08	A^3/atom
space group	No. 121

Unit cell a=8.823 b=8.823 c=8.671 alpha=120.58 beta=120.58 gamma=90.00
Sites, in units of the cell vectors:
Ba1 0.651 0.651 0.728
Ba2 0.349 0.923 0.272
Ba3 0.077 0.077 0.728
Ba4 0.923 0.349 0.272
Au1 0.000 0.000 0.000
I1 0.500 0.000 0.000
I2 0.000 0.500 0.000
I3 0.332 0.332 0.664
I4 0.668 0.668 0.336

=====

Record 17
Below is an optimized crystal structure of Ba3Au2I, with properties calculated at the PBE-GGA level.

Properties
formation energy without anion corrections	-0.769	eV/atom
electronic total energy	-37.0	eV for the cell shown
calculated volume	41.58	A^3/atom
space group	No. 63

Unit cell a=5.342 b=8.292 c=11.897 alpha=90.00 beta=90.00 gamma=108.79
Sites, in units of the cell vectors:
Ba1 0.628 0.256 0.043
Ba2 0.103 0.206 0.750
Ba3 0.628 0.256 0.457
Ba4 0.897 0.794 0.250
Ba5 0.372 0.744 0.957
Ba6 0.372 0.744 0.543
Au1 0.000 0.000 0.000
Au2 0.000 0.000 0.500
Au3 0.496 0.991 0.250
Au4 0.504 0.009 0.750
I1 0.228 0.457 0.250
I2 0.772 0.543 0.750

=====

Record 18
Below is an optimized crystal structure of Ba2AuI, with properties calculated at the PBE-GGA level.

Properties
formation energy without anion corrections	-1.066	eV/atom
offset from the most stable computed form	0.7	kJ per mole of atoms
electronic total energy	-12.9	eV for the cell shown
calculated volume	43.58	A^3/atom
space group	No. 160

Unit cell a=4.751 b=4.751 c=9.329 alpha=75.25 beta=75.25 gamma=60.00
Sites, in units of the cell vectors:
Ba1 0.069 0.069 0.794
Ba2 0.265 0.265 0.205
Au1 0.668 0.668 0.997
I1 0.498 0.498 0.505

=====

Record 19
Below is an optimized crystal structure of Ba4AuI2, with properties calculated at the PBE-GGA level.

Properties
formation energy without anion corrections	-0.961	eV/atom
offset from the most stable computed form	0.0	kJ per mole of atoms
electronic total energy	-20.8	eV for the cell shown
calculated volume	48.02	A^3/atom
space group	No. 166

Unit cell a=4.669 b=4.669 c=18.009 alpha=82.55 beta=82.55 gamma=60.00
Sites, in units of the cell vectors:
I1 0.249 0.249 0.253
I2 0.751 0.751 0.747
Au1 0.000 0.000 0.000
Ba1 0.132 0.132 0.604
Ba2 0.868 0.868 0.396
Ba3 0.368 0.368 0.895
Ba4 0.632 0.632 0.105

=====

Record 20
Below is an optimized crystal structure of Ba4AuI2, with properties calculated at the PBE-GGA level.

Properties
formation energy without anion corrections	-0.812	eV/atom
offset from the most stable computed form	14.3	kJ per mole of atoms
electronic total energy	-19.8	eV for the cell shown
calculated volume	51.96	A^3/atom
space group	No. 139

Unit cell a=6.439 b=6.439 c=9.883 alpha=109.01 beta=109.01 gamma=90.00
Sites, in units of the cell vectors:
I1 0.612 0.612 0.224
I2 0.388 0.388 0.776
Au1 0.000 0.000 0.000
Ba1 0.811 0.811 0.622
Ba2 0.189 0.189 0.378
Ba3 0.000 0.500 0.000
Ba4 0.500 0.000 0.000